1.
This record from Alexandria describes a geometry-optimized MgNiNF2 structure. The functional is GGA+U.

Properties
- symmetry = P4/mmm, No. 123
- total magnetic moment (μB per cell) = 3.00
- E above lowest polymorph (eV/atom) = 0.109

Cell lengths 3.634, 3.634, 4.913 Å; angles 90.00, 90.00, 90.00 degrees
Site moments in Bohr magnetons follow the coordinates.
Atoms (fractional coordinates):
1 Ni 0.500 0.500 0.500  1.42
2 Mg 0.000 0.000 0.000  0.01
3 N 0.000 0.000 0.500  1.01
4 F 0.000 0.500 0.000  0.03
5 F 0.500 0.000 0.000  0.03


2.
This record from Alexandria describes a geometry-optimized MgNiN2F structure. The functional is GGA+U.

Properties
- symmetry = P4/mmm, No. 123
- total magnetic moment (μB per cell) = 0.92
- E above lowest polymorph (eV/atom) = 0.650

Cell lengths 4.103, 4.103, 3.663 Å; angles 90.00, 90.00, 90.00 degrees
Site moments in Bohr magnetons follow the coordinates.
Atoms (fractional coordinates):
1 Ni 0.500 0.500 0.500  1.50
2 Mg 0.000 0.000 0.000  0.00
3 N 0.000 0.500 0.000  -0.80
4 N 0.500 0.000 0.000  -0.80
5 F 0.000 0.000 0.500  -0.10


3.
This record from Alexandria describes a geometry-optimized Mg2NiNF structure. The functional is GGA+U.

Properties
- DFT total energy (eV/cell) = -19.58
- symmetry = P4/mmm, No. 123
- total magnetic moment (μB per cell) = 0.00

Cell lengths 4.291, 3.583, 4.291 Å; angles 90.00, 90.00, 90.00 degrees
Atoms (fractional coordinates):
1 Ni 0.000 0.500 0.000
2 Mg 0.000 0.000 0.500
3 Mg 0.500 0.000 0.000
4 N 0.000 0.000 0.000
5 F 0.500 0.500 0.500


4.
This record from Alexandria describes a geometry-optimized MgNiN2F structure. The functional is GGA+U.

Properties
- symmetry = P4/mmm, No. 123
- total magnetic moment (μB per cell) = 2.53
- E above lowest polymorph (eV/atom) = 0.000

Cell lengths 3.717, 3.717, 3.995 Å; angles 90.00, 90.00, 90.00 degrees
Site moments in Bohr magnetons follow the coordinates.
Atoms (fractional coordinates):
1 Ni 0.000 0.000 0.000  1.34
2 Mg 0.500 0.500 0.500  -0.01
3 N 0.000 0.500 0.000  0.40
4 N 0.500 0.000 0.000  0.40
5 F 0.000 0.000 0.500  0.08


5.
This record from Alexandria describes a geometry-optimized MgNiNF2 structure. The functional is GGA+U.

Properties
- symmetry = P4/mmm, No. 123
- total magnetic moment (μB per cell) = 2.25
- E above lowest polymorph (eV/atom) = 0.000

Cell lengths 3.819, 3.819, 4.020 Å; angles 90.00, 90.00, 90.00 degrees
Site moments in Bohr magnetons follow the coordinates.
Atoms (fractional coordinates):
1 Ni 0.000 0.000 0.000  1.68
2 Mg 0.500 0.500 0.500  -0.01
3 N 0.000 0.000 0.500  0.35
4 F 0.000 0.500 0.000  0.04
5 F 0.500 0.000 0.000  0.04


Which formula does entry 2 have? MgNiN2F


What is the total magnetic moment in the fifth record? 2.25 μB per cell


Please write out number 1 again, unchanged.
This record from Alexandria describes a geometry-optimized MgNiNF2 structure. The functional is GGA+U.

Properties
- symmetry = P4/mmm, No. 123
- total magnetic moment (μB per cell) = 3.00
- E above lowest polymorph (eV/atom) = 0.109

Cell lengths 3.634, 3.634, 4.913 Å; angles 90.00, 90.00, 90.00 degrees
Site moments in Bohr magnetons follow the coordinates.
Atoms (fractional coordinates):
1 Ni 0.500 0.500 0.500  1.42
2 Mg 0.000 0.000 0.000  0.01
3 N 0.000 0.000 0.500  1.01
4 F 0.000 0.500 0.000  0.03
5 F 0.500 0.000 0.000  0.03


Look up the total magnetic moment of the third one. 0.00 μB per cell